Here is a relaxed Dy2Sn2PdPt3 crystal from OQMD via LeMat-Bulk. Energies are from PBE.

Output
E = -6.058 eV per atom

```
Dy2Sn2PdPt3
1.0
4.5721 0.0000 0.0000
-2.2860 3.9595 0.0000
0.0000 0.0000 9.0627
Dy Sn Pd Pt
2 2 1 3
direct
0.0000 0.0000 0.0000 Dy
0.3333 0.6667 0.5041 Dy
0.6667 0.3333 0.2561 Sn
0.6667 0.3333 0.7547 Sn
0.3333 0.6667 0.1661 Pd
0.0000 0.0000 0.3392 Pt
0.0000 0.0000 0.6635 Pt
0.3333 0.6667 0.8449 Pt
```

Here is a relaxed TbDy2Sn3PdPt2 crystal from OQMD via LeMat-Bulk. Energies are from PBE.

Output
E = -5.843 eV per atom

```
TbDy2Sn3PdPt2
1.0
4.0102 0.0000 0.0000
0.0000 6.5393 3.7733
0.0000 -6.5393 3.7733
Tb Dy Sn Pd Pt
1 2 3 1 2
direct
0.0000 0.0000 0.0000 Tb
0.0000 0.4077 0.8153 Dy
0.0000 0.8153 0.4077 Dy
0.5000 0.1497 0.4078 Sn
0.5000 0.4078 0.1497 Sn
0.5000 0.6655 0.6655 Sn
0.0000 0.4079 0.4079 Pd
0.5000 0.0744 0.7408 Pt
0.5000 0.7408 0.0744 Pt
```

Here is a relaxed Tb2DySn3PdPt2 crystal from OQMD via LeMat-Bulk. Energies are from PBE.

Output
E = -5.846 eV per atom

```
Tb2DySn3PdPt2
1.0
4.0123 0.0000 0.0000
0.0000 6.5418 3.7784
0.0000 -6.5418 3.7784
Tb Dy Sn Pd Pt
2 1 3 1 2
direct
0.0000 0.2038 0.7962 Tb
0.0000 0.7962 0.2038 Tb
0.0000 0.6113 0.6113 Dy
0.5000 0.2039 0.4618 Sn
0.5000 0.4618 0.2039 Sn
0.5000 0.9458 0.9458 Sn
0.0000 0.2039 0.2039 Pd
0.5000 0.5372 0.8703 Pt
0.5000 0.8703 0.5372 Pt
```

Here is a relaxed Dy3TlSn2PdPt2 crystal from OQMD via LeMat-Bulk. Energies are from PBE.

Output
E = -5.571 eV per atom

```
Dy3TlSn2PdPt2
1.0
3.8302 0.0000 0.0000
0.0000 6.6930 3.8620
0.0000 -6.6930 3.8620
Dy Tl Sn Pd Pt
3 1 2 1 2
direct
0.0000 0.0000 0.0000 Dy
0.0000 0.1823 0.5862 Dy
0.0000 0.5862 0.1823 Dy
0.5000 0.3262 0.3262 Tl
0.5000 0.5889 0.8511 Sn
0.5000 0.8511 0.5889 Sn
0.0000 0.6029 0.6029 Pd
0.5000 0.2534 0.9128 Pt
0.5000 0.9128 0.2534 Pt
```

Here is a relaxed DyTm2Sn3Pd2Pt crystal from OQMD via LeMat-Bulk. Energies are from PBE.

Output
E = -5.637 eV per atom

```
DyTm2Sn3Pd2Pt
1.0
3.9170 0.0000 0.0000
0.0000 6.5541 3.7723
0.0000 -6.5541 3.7723
Dy Tm Sn Pd Pt
1 2 3 2 1
direct
0.0000 0.0000 0.0000 Dy
0.0000 0.2005 0.5998 Tm
0.0000 0.5998 0.2005 Tm
0.5000 0.3365 0.3365 Sn
0.5000 0.5995 0.8623 Sn
0.5000 0.8623 0.5995 Sn
0.5000 0.2688 0.9322 Pd
0.5000 0.9322 0.2688 Pd
0.0000 0.5978 0.5978 Pt
```

Here is a relaxed Dy2TmSn3Pd2Pt crystal from OQMD via LeMat-Bulk. Energies are from PBE.

Output
E = -5.655 eV per atom

```
Dy2TmSn3Pd2Pt
1.0
3.9311 0.0000 0.0000
0.0000 6.5441 3.7895
0.0000 -6.5441 3.7895
Dy Tm Sn Pd Pt
2 1 3 2 1
direct
0.0000 0.2003 0.7997 Dy
0.0000 0.7997 0.2003 Dy
0.0000 0.4002 0.4002 Tm
0.5000 0.0616 0.0616 Sn
0.5000 0.5372 0.7993 Sn
0.5000 0.7993 0.5372 Sn
0.5000 0.1355 0.4655 Pd
0.5000 0.4655 0.1355 Pd
0.0000 0.7979 0.7979 Pt
```

Here is a relaxed Dy2YSn3Pd2Pt crystal from OQMD via LeMat-Bulk. Energies are from PBE.

Output
E = -5.883 eV per atom

```
Dy2YSn3Pd2Pt
1.0
3.9548 0.0000 0.0000
0.0000 6.5747 3.7910
0.0000 -6.5747 3.7910
Dy Y Sn Pd Pt
2 1 3 2 1
direct
0.0000 0.2005 0.7995 Dy
0.0000 0.7995 0.2005 Dy
0.0000 0.6013 0.6013 Y
0.5000 0.2009 0.4623 Sn
0.5000 0.4623 0.2009 Sn
0.5000 0.9383 0.9383 Sn
0.5000 0.5337 0.8688 Pd
0.5000 0.8688 0.5337 Pd
0.0000 0.1995 0.1995 Pt
```

Here is a relaxed DyY2Sn3PdPt2 crystal from OQMD via LeMat-Bulk. Energies are from PBE.

Output
E = -6.254 eV per atom

```
DyY2Sn3PdPt2
1.0
4.0167 0.0000 0.0000
0.0000 6.5182 3.7725
0.0000 -6.5182 3.7725
Dy Y Sn Pd Pt
1 2 3 1 2
direct
0.0000 0.0000 0.0000 Dy
0.0000 0.1843 0.5919 Y
0.0000 0.5919 0.1843 Y
0.5000 0.3339 0.3339 Sn
0.5000 0.5920 0.8498 Sn
0.5000 0.8498 0.5920 Sn
0.0000 0.5925 0.5925 Pd
0.5000 0.2575 0.9254 Pt
0.5000 0.9254 0.2575 Pt
```

Here is a relaxed DyY2Sn3Pd2Pt crystal from OQMD via LeMat-Bulk. Energies are from PBE.

Output
E = -6.091 eV per atom

```
DyY2Sn3Pd2Pt
1.0
3.9554 0.0000 0.0000
0.0000 6.5703 3.7980
0.0000 -6.5703 3.7980
Dy Y Sn Pd Pt
1 2 3 2 1
direct
0.0000 0.0000 0.0000 Dy
0.0000 0.4009 0.8016 Y
0.0000 0.8016 0.4009 Y
0.5000 0.1391 0.4013 Sn
0.5000 0.4013 0.1391 Sn
0.5000 0.6623 0.6623 Sn
0.5000 0.0674 0.7359 Pd
0.5000 0.7359 0.0674 Pd
0.0000 0.3999 0.3999 Pt
```

Here is a relaxed Dy3ZnSn2PdPt2 crystal from OQMD via LeMat-Bulk. Energies are from PBE.

Output
E = -5.480 eV per atom

```
Dy3ZnSn2PdPt2
1.0
3.8372 0.0000 0.0000
0.0000 6.5751 3.7846
0.0000 -6.5751 3.7846
Dy Zn Sn Pd Pt
3 1 2 1 2
direct
0.0000 0.0000 0.0000 Dy
0.0000 0.1687 0.5660 Dy
0.0000 0.5660 0.1687 Dy
0.5000 0.3129 0.3129 Zn
0.5000 0.5759 0.8323 Sn
0.5000 0.8323 0.5759 Sn
0.0000 0.5690 0.5690 Pd
0.5000 0.2436 0.9129 Pt
0.5000 0.9129 0.2436 Pt
```

Here is a relaxed DyPuPd6 crystal from OQMD via LeMat-Bulk. Energies are from PBE.

Output
E = -6.988 eV per atom

```
DyPuPd6
1.0
4.1246 0.0000 0.0000
0.0000 4.1246 0.0000
0.0000 0.0000 8.2562
Dy Pu Pd
1 1 6
direct
0.0000 0.0000 0.0000 Dy
0.0000 0.0000 0.5000 Pu
0.0000 0.5000 0.2517 Pd
0.0000 0.5000 0.7483 Pd
0.5000 0.0000 0.2517 Pd
0.5000 0.0000 0.7483 Pd
0.5000 0.5000 0.0000 Pd
0.5000 0.5000 0.5000 Pd
```

Here is a relaxed RbDyPd crystal from OQMD via LeMat-Bulk. Energies are from PBE.

Output
E = -3.373 eV per atom

```
RbDyPd
1.0
7.2664 0.0000 0.0000
0.0000 7.2664 0.0000
0.0000 0.0000 7.2664
Rb Dy Pd
4 4 4
direct
0.0000 0.0000 0.0000 Rb
0.0000 0.5000 0.5000 Rb
0.5000 0.0000 0.5000 Rb
0.5000 0.5000 0.0000 Rb
0.0000 0.0000 0.5000 Dy
0.0000 0.5000 0.0000 Dy
0.5000 0.0000 0.0000 Dy
0.5000 0.5000 0.5000 Dy
0.2500 0.2500 0.7500 Pd
0.2500 0.7500 0.2500 Pd
0.7500 0.2500 0.2500 Pd
0.7500 0.7500 0.7500 Pd
```